[1]
Below is a relaxed structure of SiRuW2, with properties calculated at the PBE level.

Computed properties:
- V (Å³/cell) = 59.1
- SG = No. 6

Unit cell a=2.805 b=4.225 c=5.061 alpha=90.00 beta=99.69 gamma=90.00
Element x y z (fractional)
Si1 0.000 0.000 0.000
Ru1 0.957 0.500 0.749
W1 0.333 0.000 0.510
W2 0.564 0.500 0.226

***

[2]
Below is a relaxed structure of Si2RuW, with properties calculated at the PBE level.

Computed properties:
- V (Å³/cell) = 110.1
- SG = No. 8

Unit cell a=8.848 b=2.909 c=4.469 alpha=90.00 beta=106.84 gamma=90.00
Element x y z (fractional)
Si1 0.000 0.000 0.000
Si2 0.250 0.000 0.671
Si3 0.500 0.500 0.000
Si4 0.750 0.500 0.671
Ru1 0.242 0.500 0.138
Ru2 0.742 0.000 0.138
W1 0.499 0.000 0.512
W2 0.999 0.500 0.512

***

[3]
Below is a relaxed structure of Si2RuW, with properties calculated at the PBE level.

Computed properties:
- V (Å³/cell) = 246.7
- SG = No. 122

Unit cell a=3.775 b=3.775 c=17.312 alpha=90.00 beta=90.00 gamma=90.00
Element x y z (fractional)
Si1 0.229 0.250 0.125
Si2 0.250 0.729 0.375
Si3 0.250 0.771 0.875
Si4 0.271 0.250 0.625
Si5 0.729 0.750 0.625
Si6 0.750 0.229 0.875
Si7 0.750 0.271 0.375
Si8 0.771 0.750 0.125
Ru1 0.000 0.000 0.000
Ru2 0.000 0.500 0.250
Ru3 0.500 0.000 0.750
Ru4 0.500 0.500 0.500
W1 0.000 0.000 0.500
W2 0.000 0.500 0.750
W3 0.500 0.000 0.250
W4 0.500 0.500 0.000

***

[4]
Below is a relaxed structure of Si2RuW, with properties calculated at the PBE level.

Computed properties:
- V (Å³/cell) = 112.3
- SG = No. 12

Unit cell a=7.987 b=2.810 c=5.114 alpha=90.00 beta=101.88 gamma=90.00
Element x y z (fractional)
Si1 0.245 0.000 0.227
Si2 0.255 0.500 0.773
Si3 0.745 0.500 0.227
Si4 0.755 0.000 0.773
Ru1 0.000 0.500 0.000
Ru2 0.500 0.000 0.000
W1 0.000 0.000 0.500
W2 0.500 0.500 0.500

***

[5]
Below is a relaxed structure of SiRuW2, with properties calculated at the PBE level.

Computed properties:
- V (Å³/cell) = 59.6
- SG = No. 25

Unit cell a=2.799 b=4.051 c=5.258 alpha=90.00 beta=90.00 gamma=90.00
Element x y z (fractional)
Si1 0.000 0.000 0.000
Ru1 0.500 0.500 0.783
W1 0.000 0.000 0.508
W2 0.500 0.500 0.254

***

[6]
Below is a relaxed structure of SiRuW2, with properties calculated at the PBE level.

Computed properties:
- V (Å³/cell) = 118.2
- SG = No. 119

Unit cell a=3.783 b=3.783 c=8.254 alpha=90.00 beta=90.00 gamma=90.00
Element x y z (fractional)
Si1 0.000 0.000 0.000
Si2 0.500 0.500 0.500
Ru1 0.000 0.500 0.250
Ru2 0.500 0.000 0.750
W1 0.000 0.000 0.500
W2 0.000 0.500 0.750
W3 0.500 0.000 0.250
W4 0.500 0.500 0.000

***

[7]
Below is a relaxed structure of SiRuW, with properties calculated at the PBE level.

Computed properties:
- V (Å³/cell) = 85.3
- SG = No. 44

Unit cell a=2.832 b=3.810 c=7.907 alpha=90.00 beta=90.00 gamma=90.00
Element x y z (fractional)
Si1 0.000 0.000 0.000
Si2 0.500 0.500 0.500
Ru1 0.000 0.000 0.338
Ru2 0.500 0.500 0.838
W1 0.000 0.000 0.666
W2 0.500 0.500 0.166

***

[8]
Below is a relaxed structure of YSiRu4, with properties calculated at the PBE level.

Computed properties:
- V (Å³/cell) = 98.9
- SG = No. 216

Unit cell a=5.191 b=5.191 c=5.191 alpha=60.00 beta=60.00 gamma=60.00
Element x y z (fractional)
Y1 0.000 0.000 0.000
Si1 0.250 0.250 0.250
Ru1 0.129 0.624 0.624
Ru2 0.624 0.129 0.624
Ru3 0.624 0.624 0.129
Ru4 0.624 0.624 0.624

***

[9]
Below is a relaxed structure of YSi2Ru, with properties calculated at the PBE level.

Computed properties:
- V (Å³/cell) = 137.4
- SG = No. 44

Unit cell a=3.193 b=4.498 c=9.571 alpha=90.00 beta=90.00 gamma=90.00
Element x y z (fractional)
Y1 0.000 0.000 0.000
Y2 0.500 0.500 0.500
Si1 0.000 0.000 0.518
Si2 0.000 0.500 0.787
Si3 0.500 0.000 0.287
Si4 0.500 0.500 0.018
Ru1 0.000 0.500 0.219
Ru2 0.500 0.000 0.719

***

[10]
Below is a relaxed structure of YSi2Ru, with properties calculated at the PBE level.

Computed properties:
- V (Å³/cell) = 215.4
- SG = No. 160

Unit cell a=3.198 b=3.198 c=24.314 alpha=90.00 beta=90.00 gamma=120.00
Element x y z (fractional)
Y1 0.000 0.000 0.000
Y2 0.333 0.667 0.667
Y3 0.667 0.333 0.333
Si1 0.000 0.000 0.233
Si2 0.000 0.000 0.492
Si3 0.333 0.667 0.159
Si4 0.333 0.667 0.900
Si5 0.667 0.333 0.567
Si6 0.667 0.333 0.825
Ru1 0.000 0.000 0.759
Ru2 0.333 0.667 0.426
Ru3 0.667 0.333 0.092

***

[11]
Below is a relaxed structure of YSi2Ru, with properties calculated at the PBE level.

Computed properties:
- V (Å³/cell) = 267.0
- SG = No. 225

Unit cell a=6.440 b=6.440 c=6.440 alpha=90.00 beta=90.00 gamma=90.00
Element x y z (fractional)
Y1 0.000 0.000 0.000
Y2 0.000 0.500 0.500
Y3 0.500 0.000 0.500
Y4 0.500 0.500 0.000
Si1 0.250 0.250 0.250
Si2 0.250 0.250 0.750
Si3 0.250 0.750 0.250
Si4 0.250 0.750 0.750
Si5 0.750 0.250 0.250
Si6 0.750 0.250 0.750
Si7 0.750 0.750 0.250
Si8 0.750 0.750 0.750
Ru1 0.000 0.000 0.500
Ru2 0.000 0.500 0.000
Ru3 0.500 0.000 0.000
Ru4 0.500 0.500 0.500

***

[12]
Below is a relaxed structure of YSi2Ru, with properties calculated at the PBE level.

Computed properties:
- V (Å³/cell) = 144.4
- SG = No. 8

Unit cell a=8.360 b=3.320 c=5.365 alpha=90.00 beta=104.10 gamma=90.00
Element x y z (fractional)
Y1 0.000 0.000 0.000
Y2 0.500 0.500 0.000
Si1 0.009 0.500 0.513
Si2 0.268 0.500 0.331
Si3 0.509 0.000 0.513
Si4 0.768 0.000 0.331
Ru1 0.237 0.000 0.638
Ru2 0.737 0.500 0.638

***

The following E values (in eV/atom) correspond, in order, to the records above: -10.210; -8.558; -7.984; -8.396; -10.108; -10.069; -9.307; -8.059; -6.827; -6.579; -6.933; -7.069.
The following formation energy without anion corrections values (in eV/atom) correspond, in order, to the records above: -0.06; -0.29; 0.28; -0.13; 0.04; 0.08; -0.09; 0.11; -0.18; 0.07; -0.29; -0.42.